Entry from Alexandria: KCaNi after structural relaxation (PBE).

It has space group I4mm (No. 107), with a = 3.6208 Å, b = 3.6208 Å, c = 14.8927 Å, α = 90.00°, β = 90.00° and γ = 90.00°. Symmetry generates all atoms from K at (0.0000, 0.0000, 0.0000), Ca at (0.0000, 0.0000, 0.2434) and Ni at (0.0000, 0.0000, 0.6567).

The energy of formation is 0.873 eV/f.u.